A plane-wave DFT calculation with PBE was carried out for NiBSb2I after structural relaxation.

Unit cell a=4.821 b=4.821 c=4.772 alpha=90.00 beta=90.00 gamma=90.00
Fractional positions:
Ni  0.000  0.000  0.000
B  0.500  0.500  0.500
Sb  0.000  0.500  0.500
Sb  0.500  0.000  0.500
I  0.500  0.500  0.000

Results
The calculation puts the magnetic moment at 0.00 μB/cell. The total DFT energy (no corrections) is -3.3135 eV per atom. Its calculated volume is 22.182 A^3/atom. The calculation puts the uncorrected formation energy at 1137 meV/atom.

---

A plane-wave DFT calculation with PBE was carried out for NiBSb2I after structural relaxation.

Unit cell a=4.894 b=4.894 c=5.486 alpha=90.00 beta=90.00 gamma=90.00
Fractional positions:
Ni  0.000  0.000  0.000
B  0.500  0.500  0.500
Sb  0.000  0.500  0.000
Sb  0.500  0.000  0.000
I  0.000  0.000  0.500

Results
The calculation puts the magnetic moment at 0.00 μB/cell. The total DFT energy (no corrections) is -3.2605 eV per atom. Its calculated volume is 26.272 A^3/atom. The calculation puts the uncorrected formation energy at 1190 meV/atom.

---

A plane-wave DFT calculation with PBE was carried out for NiBTe2I after structural relaxation.

Unit cell a=4.864 b=4.864 c=4.892 alpha=90.00 beta=90.00 gamma=90.00
Fractional positions:
Ni  0.000  0.000  0.000
B  0.500  0.500  0.500
Te  0.000  0.500  0.500
Te  0.500  0.000  0.500
I  0.500  0.500  0.000

Results
The calculation puts the magnetic moment at 1.16 μB/cell. The total DFT energy (no corrections) is -2.9353 eV per atom. Its calculated volume is 23.150 A^3/atom. The calculation puts the uncorrected formation energy at 1123 meV/atom.

---

A plane-wave DFT calculation with PBE was carried out for NiBTe2I after structural relaxation.

Unit cell a=5.008 b=5.008 c=5.383 alpha=90.00 beta=90.00 gamma=90.00
Fractional positions:
Ni  0.000  0.000  0.000
B  0.500  0.500  0.500
Te  0.000  0.500  0.000
Te  0.500  0.000  0.000
I  0.000  0.000  0.500

Results
The calculation puts the magnetic moment at 0.00 μB/cell. The total DFT energy (no corrections) is -2.9220 eV per atom. Its calculated volume is 26.997 A^3/atom. The calculation puts the uncorrected formation energy at 1136 meV/atom.

---

A plane-wave DFT calculation with PBE was carried out for NiBW2I after structural relaxation.

Unit cell a=4.182 b=4.182 c=4.762 alpha=90.00 beta=90.00 gamma=90.00
Fractional positions:
Ni  0.000  0.000  0.000
B  0.500  0.500  0.500
W  0.000  0.500  0.500
W  0.500  0.000  0.500
I  0.500  0.500  0.000

Results
The calculation puts the magnetic moment at 0.00 μB/cell. The total DFT energy (no corrections) is -6.5453 eV per atom. Its calculated volume is 16.661 A^3/atom. The calculation puts the uncorrected formation energy at 1438 meV/atom.

---

A plane-wave DFT calculation with PBE was carried out for Zr2NiBI after structural relaxation.

Unit cell a=5.251 b=5.251 c=4.423 alpha=90.00 beta=90.00 gamma=90.00
Fractional positions:
Zr  0.000  0.500  0.000
Zr  0.500  0.000  0.000
Ni  0.000  0.000  0.500
B  0.500  0.500  0.500
I  0.000  0.000  0.000

Results
The calculation puts the magnetic moment at 0.00 μB/cell. The total DFT energy (no corrections) is -4.5864 eV per atom. Its calculated volume is 24.388 A^3/atom. The calculation puts the uncorrected formation energy at 1635 meV/atom.

---

A plane-wave DFT calculation with PBE was carried out for ZrNiB2I after structural relaxation.

Unit cell a=4.353 b=4.353 c=5.426 alpha=90.00 beta=90.00 gamma=90.00
Fractional positions:
Zr  0.000  0.000  0.000
Ni  0.500  0.500  0.000
B  0.000  0.500  0.500
B  0.500  0.000  0.500
I  0.000  0.000  0.500

Results
The calculation puts the magnetic moment at 0.00 μB/cell. The total DFT energy (no corrections) is -3.5395 eV per atom. Its calculated volume is 20.568 A^3/atom. The calculation puts the uncorrected formation energy at 2307 meV/atom.

---

A plane-wave DFT calculation with PBE was carried out for NpBI after structural relaxation.

Unit cell a=5.606 b=3.792 c=15.500 alpha=90.00 beta=90.00 gamma=90.00
Fractional positions:
Np  0.008  0.250  0.250
Np  0.492  0.750  0.750
Np  0.508  0.250  0.250
Np  0.992  0.750  0.750
B  0.241  0.250  0.705
B  0.259  0.750  0.205
B  0.741  0.250  0.795
B  0.759  0.750  0.295
I  0.243  0.250  0.901
I  0.257  0.750  0.401
I  0.743  0.250  0.599
I  0.757  0.750  0.099

Results
The calculation puts the magnetic moment at 13.47 μB/cell. The total DFT energy (no corrections) is -6.5820 eV per atom. Its calculated volume is 27.459 A^3/atom. The calculation puts the uncorrected formation energy at 474 meV/atom.

---

A plane-wave DFT calculation with PBE was carried out for B2I2O after structural relaxation.

Unit cell a=4.794 b=4.794 c=4.794 alpha=121.90 beta=121.90 gamma=86.74
Fractional positions:
B  0.124  0.124  0.000
B  0.876  0.876  0.000
I  0.250  0.750  0.500
I  0.750  0.250  0.500
O  0.500  0.500  0.000

Results
The calculation puts the magnetic moment at 0.00 μB/cell. The total DFT energy (no corrections) is -3.1712 eV per atom. Its calculated volume is 15.104 A^3/atom. The calculation puts the uncorrected formation energy at 1111 meV/atom.

---

A plane-wave DFT calculation with PBE was carried out for BIO2 after structural relaxation.

Unit cell a=8.105 b=8.105 c=8.105 alpha=19.94 beta=19.94 gamma=19.94
Fractional positions:
B  0.000  0.000  0.000
I  0.500  0.500  0.500
O  0.367  0.367  0.367
O  0.633  0.633  0.633

Results
The calculation puts the magnetic moment at 0.76 μB/cell. The total DFT energy (no corrections) is -4.5077 eV per atom. Its calculated volume is 13.547 A^3/atom. The calculation puts the uncorrected formation energy at 28 meV/atom.

---

A plane-wave DFT calculation with PBE was carried out for B2IO after structural relaxation.

Unit cell a=6.588 b=6.588 c=6.588 alpha=143.08 beta=143.08 gamma=53.20
Fractional positions:
B  0.375  0.134  0.259
B  0.866  0.125  0.241
B  0.875  0.116  0.741
B  0.884  0.625  0.759
I  0.250  0.750  0.500
I  0.500  0.500  0.000
O  0.000  0.000  0.000
O  0.750  0.250  0.500

Results
The calculation puts the magnetic moment at 0.00 μB/cell. The total DFT energy (no corrections) is -3.8620 eV per atom. Its calculated volume is 12.813 A^3/atom. The calculation puts the uncorrected formation energy at 1104 meV/atom.

---

A plane-wave DFT calculation with PBE was carried out for BIO2 after structural relaxation.

Unit cell a=5.003 b=5.003 c=5.003 alpha=60.00 beta=60.00 gamma=60.00
Fractional positions:
B  0.125  0.125  0.125
B  0.875  0.875  0.875
I  0.375  0.375  0.375
I  0.625  0.625  0.625
O  0.000  0.000  0.000
O  0.000  0.000  0.500
O  0.000  0.500  0.000
O  0.500  0.000  0.000

Results
The calculation puts the magnetic moment at 0.00 μB/cell. The total DFT energy (no corrections) is -5.3591 eV per atom. Its calculated volume is 11.068 A^3/atom. The calculation puts the uncorrected formation energy at -823 meV/atom.

---

A plane-wave DFT calculation with PBE was carried out for B2I2O after structural relaxation.

Unit cell a=6.931 b=6.931 c=3.546 alpha=90.00 beta=90.00 gamma=90.00
Fractional positions:
B  0.198  0.302  0.000
B  0.302  0.802  0.000
B  0.698  0.198  0.000
B  0.802  0.698  0.000
I  0.162  0.662  0.500
I  0.338  0.162  0.500
I  0.662  0.838  0.500
I  0.838  0.338  0.500
O  0.000  0.000  0.000
O  0.500  0.500  0.000

Results
The calculation puts the magnetic moment at 0.00 μB/cell. The total DFT energy (no corrections) is -2.7347 eV per atom. Its calculated volume is 17.033 A^3/atom. The calculation puts the uncorrected formation energy at 1548 meV/atom.

---

A plane-wave DFT calculation with PBE was carried out for B3IO after structural relaxation.

Unit cell a=4.467 b=4.467 c=4.467 alpha=90.00 beta=90.00 gamma=90.00
Fractional positions:
B  0.000  0.000  0.500
B  0.000  0.500  0.000
B  0.500  0.000  0.000
I  0.000  0.000  0.000
O  0.500  0.500  0.500

Results
The calculation puts the magnetic moment at 0.00 μB/cell. The total DFT energy (no corrections) is -2.2659 eV per atom. Its calculated volume is 17.833 A^3/atom. The calculation puts the uncorrected formation energy at 3042 meV/atom.

---

A plane-wave DFT calculation with PBE was carried out for BIO6 after structural relaxation.

Unit cell a=5.276 b=5.276 c=5.157 alpha=96.96 beta=96.96 gamma=126.66
Fractional positions:
B  0.000  0.000  0.000
I  0.000  0.000  0.500
O  0.112  0.867  0.207
O  0.133  0.888  0.793
O  0.443  0.443  0.618
O  0.557  0.557  0.382
O  0.867  0.112  0.207
O  0.888  0.133  0.793

Results
The calculation puts the magnetic moment at 0.00 μB/cell. The total DFT energy (no corrections) is -5.0046 eV per atom. Its calculated volume is 13.860 A^3/atom. The calculation puts the uncorrected formation energy at -258 meV/atom.

---

A plane-wave DFT calculation with PBE was carried out for BI2O after structural relaxation.

Unit cell a=6.069 b=6.069 c=6.069 alpha=115.95 beta=115.95 gamma=97.17
Fractional positions:
B  0.000  0.000  0.000
B  0.750  0.250  0.500
I  0.083  0.625  0.958
I  0.375  0.333  0.458
I  0.667  0.125  0.042
I  0.875  0.917  0.542
O  0.250  0.750  0.500
O  0.500  0.500  0.000

Results
The calculation puts the magnetic moment at 2.00 μB/cell. The total DFT energy (no corrections) is -2.8281 eV per atom. Its calculated volume is 20.787 A^3/atom. The calculation puts the uncorrected formation energy at 856 meV/atom.

---

A plane-wave DFT calculation with PBE was carried out for B2IO after structural relaxation.

Unit cell a=4.094 b=4.094 c=4.094 alpha=60.00 beta=60.00 gamma=60.00
Fractional positions:
B  0.250  0.250  0.250
B  0.750  0.750  0.750
I  0.000  0.000  0.000
O  0.500  0.500  0.500

Results
The calculation puts the magnetic moment at 0.00 μB/cell. The total DFT energy (no corrections) is -3.0114 eV per atom. Its calculated volume is 12.132 A^3/atom. The calculation puts the uncorrected formation energy at 1954 meV/atom.

---

A plane-wave DFT calculation with PBE was carried out for BIO2 after structural relaxation.

Unit cell a=7.142 b=7.142 c=7.142 alpha=26.89 beta=26.89 gamma=26.89
Fractional positions:
B  0.000  0.000  0.000
I  0.500  0.500  0.500
O  0.061  0.061  0.061
O  0.939  0.939  0.939

Results
The calculation puts the magnetic moment at 0.66 μB/cell. The total DFT energy (no corrections) is -5.2892 eV per atom. Its calculated volume is 16.426 A^3/atom. The calculation puts the uncorrected formation energy at -753 meV/atom.

---

A plane-wave DFT calculation with PBE was carried out for BIO2 after structural relaxation.

Unit cell a=4.075 b=4.075 c=4.075 alpha=60.00 beta=60.00 gamma=60.00
Fractional positions:
B  0.000  0.000  0.000
I  0.500  0.500  0.500
O  0.250  0.250  0.250
O  0.750  0.750  0.750

Results
The calculation puts the magnetic moment at 0.00 μB/cell. The total DFT energy (no corrections) is -3.0678 eV per atom. Its calculated volume is 11.966 A^3/atom. The calculation puts the uncorrected formation energy at 1468 meV/atom.

---

A plane-wave DFT calculation with PBE was carried out for BOsIO2 after structural relaxation.

Unit cell a=3.703 b=3.703 c=8.861 alpha=90.00 beta=90.00 gamma=90.00
Fractional positions:
B  0.000  0.000  0.000
Os  0.500  0.500  0.500
I  0.500  0.500  0.000
O  0.000  0.500  0.500
O  0.500  0.000  0.500

Results
The calculation puts the magnetic moment at 0.00 μB/cell. The total DFT energy (no corrections) is -5.5647 eV per atom. Its calculated volume is 24.299 A^3/atom. The calculation puts the uncorrected formation energy at 310 meV/atom.